A geometry-optimized TcS2F structure. Source: the Alexandria database, functional PBE.

Structure (POSCAR):
```
TcS2F
1.0
2.758 0.000 0.000
-1.379 2.388 0.000
0.000 0.000 25.770
Tc S F
3 6 3
Direct
0.000 0.000 0.000
0.333 0.667 0.667
0.667 0.333 0.333
0.000 0.000 0.090
0.000 0.000 0.910
0.333 0.667 0.577
0.333 0.667 0.756
0.667 0.333 0.244
0.667 0.333 0.423
0.000 0.000 0.500
0.333 0.667 0.167
0.667 0.333 0.833
```

Values from the calculation:
V (A^3/atom): 14.145
E_form (uncorrected) (eV per atom): 0.373
Energy relative to the lowest polymorph listed for this composition (meV per atom): 811



A geometry-optimized TcS3F structure. Source: the Alexandria database, functional PBE.

Structure (POSCAR):
```
TcS3F
1.0
4.265 0.000 0.000
0.000 4.265 0.000
0.000 0.000 4.265
Tc S F
1 3 1
Direct
0.000 0.000 0.000
0.000 0.500 0.500
0.500 0.000 0.500
0.500 0.500 0.000
0.500 0.500 0.500
```

Values from the calculation:
V (A^3/atom): 15.517
E_form (uncorrected) (eV per atom): 1.217
Energy relative to the lowest polymorph listed for this composition (meV per atom): 1078



| no. | VASP energy (eV/atom) |
| --- | --- |
| 1 | -4.750 |
| 2 | -3.707 |